# 1
Material: TmScNiPd
Method: DFT, PBE-GGA
State: optimized geometry

Cell lengths 3.339, 3.339, 6.577 Å; angles 90.00, 90.00, 90.00 degrees
Sites, in units of the cell vectors:
Pd 0.500 0.500 0.123
Tm 0.000 0.000 0.846
Sc 0.000 0.000 0.369
Ni 0.500 0.500 0.590

E_form: -0.6842 eV/atom
Polymorph energy (0 for the lowest one): 0 meV/atom
Calculated volume: 18.3 Å³/atom
Energy: -0.2252 hartree per atom

=====

# 2
Material: LiTbGe2
Method: DFT, PBE-GGA
State: optimized geometry

Cell lengths 4.213, 4.213, 5.586 Å; angles 67.84, 67.84, 60.00 degrees
Sites, in units of the cell vectors:
Li 0.500 0.500 0.500
Ge 0.782 0.782 0.654
Tb 0.000 0.000 0.000
Ge 0.218 0.218 0.346

E_form: -0.4953 eV/atom
Polymorph energy (0 for the lowest one): 137 meV/atom
Calculated volume: 19.3 Å³/atom
Energy: -0.1632 hartree per atom

=====

# 3
Material: Pa3Te2Ir
Method: DFT, PBE-GGA
State: optimized geometry

Cell lengths 7.305, 7.562, 7.298 Å; angles 80.67, 59.97, 71.09 degrees
Sites, in units of the cell vectors:
Te 0.153 0.500 0.695
Pa 0.437 0.781 0.636
Ir 0.332 0.000 0.336
Pa 0.563 0.219 0.364
Pa 0.927 0.219 0.636
Pa 0.292 0.210 0.000
Te 0.500 0.500 0.000
Te 0.847 0.500 0.305
Pa 0.073 0.781 0.364
Te 0.000 0.000 0.000
Pa 0.708 0.790 0.000
Ir 0.668 0.000 0.664

E_form (uncorrected): -0.73 eV/atom
Calculated volume: 27.5 Å³/atom
Energy: -0.2942 hartree per atom

=====

# 4
Material: Pr8Nd2Ga
Method: DFT, PBE-GGA
State: optimized geometry

Cell lengths 5.695, 7.632, 10.045 Å; angles 112.27, 106.47, 90.00 degrees
Sites, in units of the cell vectors:
Pr 0.000 0.755 0.001
Pr 0.630 0.398 0.260
Nd 0.809 0.309 0.618
Pr 0.820 0.819 0.639
Pr 0.180 0.181 0.361
Pr 0.369 0.135 0.738
Nd 0.191 0.691 0.382
Pr 0.370 0.602 0.740
Pr 0.000 0.245 0.999
Ga 0.500 0.000 0.000
Pr 0.631 0.865 0.262

E_form: -0.0158 eV/atom
Calculated volume: 35.0 Å³/atom
Energy: -0.1703 hartree per atom

=====

# 5
Material: Mn2HgW
Method: DFT, PBE-GGA
State: optimized geometry

Cell lengths 2.768, 2.768, 7.906 Å; angles 90.00, 90.00, 90.17 degrees
Each line ends with the local moment (μB).
Sites, in units of the cell vectors:
W 0.000 0.000 0.465  0.03
Hg 0.500 0.500 0.765  -0.04
Mn 0.000 0.000 0.040  2.66
Mn 0.500 0.500 0.230  -1.50

E_form: 0.4213 eV/atom
Calculated volume: 15.1 Å³/atom
Energy: -0.2748 hartree per atom

=====

# 6
Material: TcOs2
Method: DFT, PBE-GGA
State: optimized geometry

Cell lengths 4.777, 4.777, 4.356 Å; angles 90.00, 90.00, 119.99 degrees
Sites, in units of the cell vectors:
Os 0.501 0.167 0.750
Os 0.833 0.499 0.250
Os 0.499 0.833 0.250
Tc 0.832 0.832 0.750
Os 0.167 0.501 0.750
Tc 0.168 0.168 0.250

E_form: -0.0659 eV/atom
Polymorph energy (0 for the lowest one): 7 meV/atom
Calculated volume: 14.3 Å³/atom
Energy: -0.4045 hartree per atom

=====

# 7
Material: Zr4Ir
Method: DFT, PBE-GGA
State: optimized geometry

Cell lengths 7.121, 7.121, 7.121 Å; angles 60.00, 60.00, 60.00 degrees
Sites, in units of the cell vectors:
Zr 0.357 0.928 0.357
Zr 0.893 0.893 0.322
Zr 0.357 0.357 0.357
Zr 0.893 0.322 0.893
Ir 0.750 0.750 0.750
Zr 0.893 0.893 0.893
Zr 0.322 0.893 0.893
Ir 0.500 0.500 0.500
Zr 0.928 0.357 0.357
Zr 0.357 0.357 0.928

E_form: 0.4515 eV/atom
Polymorph energy (0 for the lowest one): 819 meV/atom
Calculated volume: 25.5 Å³/atom
Energy: -0.2998 hartree per atom

=====

# 8
Material: La3SnC
Method: DFT, PBE-GGA
State: optimized geometry

Cell lengths 7.101, 7.779, 7.779 Å; angles 54.31, 117.18, 117.18 degrees
Sites, in units of the cell vectors:
La 0.298 0.777 0.955
La 0.740 0.694 0.528
La 0.823 0.645 0.087
La 0.691 0.120 0.612
Sn 0.745 0.199 0.033
La 0.250 0.203 0.038
C 0.055 0.008 0.843
Sn 0.245 0.698 0.534
C 0.935 0.889 0.723
La 0.167 0.252 0.480

E_form: -0.4407 eV/atom
Calculated volume: 30.0 Å³/atom
Energy: -0.2221 hartree per atom

=====

# 9
Material: NdIn8Pd4
Method: DFT, PBE-GGA
State: optimized geometry

Cell lengths 5.880, 7.429, 7.429 Å; angles 80.99, 66.69, 66.69 degrees
Sites, in units of the cell vectors:
In 0.000 0.338 0.662
In 0.500 0.220 0.780
In 0.338 0.662 0.662
In 0.500 0.780 0.220
In 0.720 0.780 0.780
In 0.662 0.338 0.338
Pd 0.000 0.500 0.000
Nd 0.000 0.000 0.000
Pd 0.000 0.000 0.500
In 0.000 0.662 0.338
Pd 0.500 0.500 0.000
In 0.280 0.220 0.220
Pd 0.500 0.000 0.500

E_form: -0.4386 eV/atom
Calculated volume: 21.1 Å³/atom
Energy: -0.1502 hartree per atom

=====

# 10
Material: Gd2PuI
Method: DFT, PBE-GGA
State: optimized geometry

Cell lengths 3.708, 3.708, 10.651 Å; angles 79.98, 79.98, 60.00 degrees
Each line ends with the local moment (μB).
Sites, in units of the cell vectors:
Gd 0.753 0.753 0.742  6.99
Gd 0.247 0.247 0.258  6.99
I 0.500 0.500 0.500  -0.02
Pu 0.000 0.000 0.000  -5.52

E_form (uncorrected): -0.28 eV/atom
Polymorph energy (0 for the lowest one): 0 meV/atom
Calculated volume: 31.1 Å³/atom
Energy: -0.4148 hartree per atom

=====

# 11
Material: SrTl2CdIr
Method: DFT, PBE-GGA
State: optimized geometry

Cell lengths 5.306, 5.306, 5.794 Å; angles 90.00, 90.00, 90.00 degrees
Sites, in units of the cell vectors:
Ir 0.000 0.000 0.000
Cd 0.500 0.500 0.500
Tl 0.500 0.000 0.000
Tl 0.000 0.500 0.000
Sr 0.000 0.000 0.500

E_form: -0.0422 eV/atom
Calculated volume: 32.6 Å³/atom
Energy: -0.1205 hartree per atom

=====

# 12
Material: Ca2PmCuO4
Method: DFT, PBE-GGA
State: optimized geometry

Cell lengths 3.452, 5.763, 5.982 Å; angles 110.04, 90.00, 90.00 degrees
Each line ends with the local moment (μB).
Sites, in units of the cell vectors:
Cu 0.000 0.000 0.000  -0.06
O 0.000 0.264 0.744  0.00
O 0.500 0.258 0.255  -0.01
Pm 0.500 0.500 0.000  0.00
Ca 0.000 0.500 0.500  0.00
Ca 0.500 0.000 0.500  0.00
O 0.000 0.736 0.256  0.00
O 0.500 0.742 0.745  -0.01

E_form (uncorrected): -2.42 eV/atom
Calculated volume: 14.0 Å³/atom
Energy: -0.2390 hartree per atom

=====

Number 1: M_tot 0.0 μB/cell. Number 2: M_tot 0.0 μB/cell. Number 3: M_tot 0.0 μB/cell. Number 4: M_tot 0.0 μB/cell. Number 5: M_tot 1.1 μB/cell. Number 6: M_tot 0.0 μB/cell. Number 7: M_tot 0.0 μB/cell. Number 8: M_tot 0.0 μB/cell. Number 9: M_tot 0.0 μB/cell. Number 10: M_tot 8.3 μB/cell. Number 11: M_tot 0.0 μB/cell. Number 12: M_tot 0.1 μB/cell.